Er3ZnRu | GGA-PBE | optimized geometry

Results
M_tot	0.00	μB/cell
energy of formation from the pure elements	-0.19	eV per atom

Lattice parameters (Å, degrees): 7.219 8.409 8.409 75.37 89.96 89.96
Sites, in units of the cell vectors:
Er 0.474 0.031 0.695
Er 0.974 0.969 0.305
Er 0.026 0.031 0.695
Er 0.026 0.305 0.969
Er 0.000 0.375 0.375
Er 0.474 0.305 0.969
Er 0.526 0.969 0.305
Er 0.526 0.695 0.031
Er 0.500 0.375 0.375
Er 0.500 0.625 0.625
Er 0.974 0.695 0.031
Er 0.000 0.625 0.625
Zn 0.250 0.974 0.026
Zn 0.250 0.689 0.311
Zn 0.750 0.026 0.974
Zn 0.750 0.311 0.689
Ru 0.750 0.843 0.662
Ru 0.750 0.338 0.157
Ru 0.250 0.662 0.843
Ru 0.250 0.157 0.338

***

GdCo10Mo2 | GGA-PBE | optimized geometry

Results
M_tot	5.57	μB/cell
energy of formation from the pure elements	-0.03	eV per atom

Lattice parameters (Å, degrees): 6.414 6.414 6.414 137.19 97.61 97.70
Sites, in units of the cell vectors:
Co 0.779 0.500 0.279
Co 0.500 0.000 0.000
Co 0.359 0.359 0.000
Co 0.500 0.500 0.500
Co 0.000 0.000 0.500
Co 0.789 0.289 0.500
Co 0.641 0.641 0.000
Co 0.211 0.711 0.500
Co 0.221 0.500 0.721
Co 0.000 0.500 0.000
Mo 0.358 0.000 0.358
Mo 0.642 0.000 0.642
Gd 0.000 0.000 0.000

***

Rb6CaBr8 | GGA-PBE | optimized geometry

Results
M_tot	0.00	μB/cell

Lattice parameters (Å, degrees): 8.956 8.956 8.956 69.06 69.06 69.06
Sites, in units of the cell vectors:
Rb 0.304 0.940 0.514
Rb 0.696 0.060 0.486
Rb 0.940 0.514 0.304
Rb 0.060 0.486 0.696
Rb 0.514 0.304 0.940
Rb 0.486 0.696 0.060
Br 0.685 0.906 0.160
Br 0.906 0.160 0.685
Br 0.840 0.315 0.094
Br 0.094 0.840 0.315
Br 0.160 0.685 0.906
Br 0.657 0.657 0.657
Br 0.315 0.094 0.840
Br 0.343 0.343 0.343
Ca 0.000 0.000 0.000

***

RbBa3La | GGA-PBE | optimized geometry

Results
M_tot	1.84	μB/cell
energy of formation from the pure elements	0.44	eV per atom

Lattice parameters (Å, degrees): 6.896 6.896 6.896 90.00 90.00 90.00
Sites, in units of the cell vectors:
Ba 0.000 0.500 0.000
Ba 0.000 0.000 0.500
Ba 0.500 0.000 0.000
La 0.000 0.000 0.000
Rb 0.500 0.500 0.500

***

As4Ir5 | GGA-PBE | optimized geometry

Results
M_tot	0.00	μB/cell
energy of formation from the pure elements	0.25	eV per atom

Lattice parameters (Å, degrees): 7.497 7.497 5.773 90.00 90.00 120.00
Sites, in units of the cell vectors:
As 0.658 0.000 0.750
As 0.658 0.658 0.250
As 0.000 0.000 0.000
As 0.342 0.000 0.250
As 0.342 0.342 0.750
As 0.000 0.658 0.750
As 0.000 0.342 0.250
As 0.000 0.000 0.500
Ir 0.333 0.667 0.000
Ir 0.664 0.000 0.250
Ir 0.336 0.336 0.250
Ir 0.667 0.333 0.500
Ir 0.336 0.000 0.750
Ir 0.664 0.664 0.750
Ir 0.333 0.667 0.500
Ir 0.000 0.336 0.750
Ir 0.000 0.664 0.250
Ir 0.667 0.333 0.000

***

Al2MoSe | GGA-PBE | optimized geometry

Results
M_tot	0.00	μB/cell

Lattice parameters (Å, degrees): 4.541 4.541 3.174 90.00 90.00 90.00
Sites, in units of the cell vectors:
Se 0.000 0.500 0.500
Al 0.000 0.000 0.000
Al 0.500 0.500 0.000
Mo 0.500 0.000 0.500

***

So what do the calculations give for calculated density? Going down the list: 9.0, 9.3, 3.3, 3.2, 14.9, 5.8 g cm⁻³.
So what do the calculations give for total DFT energy (no corrections)? Going down the list: -5.036, -8.244, -3.201, -1.892, -6.736, -5.406 eV/atom.